1.
Entry from the Alexandria database: a relaxed structure of BaZn2Au2 (PBE).

```
BaZn2Au2
1.0
-0.063 3.649 3.267
-2.303 -2.905 3.201
3.156 -1.129 4.994
Au Ba Zn
2 1 2
Direct
0.750 0.250 0.500
0.250 0.750 0.500
0.000 0.000 0.000
0.635 0.635 0.730
0.365 0.365 0.270
```

Excess energy over the best structure of this formula in the dataset (meV per atom): 32
Space group: No. 139

---

2.
Entry from the Alexandria database: a relaxed structure of Pu2GaGe2 (PBE).

```
Pu2GaGe2
1.0
7.009 0.000 0.000
0.000 7.009 0.000
0.000 0.000 8.863
Ge Ga Pu
8 4 8
Direct
0.629 0.129 0.250
0.371 0.871 0.750
0.871 0.629 0.250
0.371 0.871 0.250
0.129 0.371 0.750
0.871 0.629 0.750
0.629 0.129 0.750
0.129 0.371 0.250
0.000 0.000 0.750
0.000 0.000 0.250
0.500 0.500 0.250
0.500 0.500 0.750
0.172 0.672 0.500
0.672 0.828 0.500
0.828 0.328 0.500
0.828 0.328 0.000
0.328 0.172 0.000
0.328 0.172 0.500
0.672 0.828 0.000
0.172 0.672 0.000
```

Space group: No. 127

---

3.
Entry from the Alexandria database: a relaxed structure of ScNb2Rh2 (PBE).

```
ScNb2Rh2
1.0
7.904 0.000 0.000
0.000 7.904 0.000
0.000 0.000 2.838
Nb Rh Sc
4 4 2
Direct
0.877 0.623 0.000
0.623 0.123 0.000
0.123 0.377 0.000
0.377 0.877 0.000
0.326 0.174 0.500
0.826 0.326 0.500
0.174 0.674 0.500
0.674 0.826 0.500
0.500 0.500 0.000
0.000 0.000 0.000
```

Excess energy over the best structure of this formula in the dataset (meV per atom): 47
Space group: No. 127

---

4.
Entry from the Alexandria database: a relaxed structure of K2BaTc (PBE).

```
K2BaTc
1.0
10.421 0.041 -0.017
9.780 3.598 -0.017
1.330 0.240 5.089
K Ba Tc
2 1 1
Direct
0.409 0.409 0.592
0.091 0.091 0.908
0.250 0.250 0.250
0.750 0.750 0.750
```

Excess energy over the best structure of this formula in the dataset (meV per atom): 0
Space group: No. 12

---

5.
Entry from the Alexandria database: a relaxed structure of TbHoRu (PBE).

```
TbHoRu
1.0
-0.182 -0.512 -4.240
1.933 -7.287 0.796
-12.726 -3.587 0.979
Ho Ru Tb
6 6 6
Direct
0.750 0.016 0.906
0.250 0.984 0.094
0.750 0.153 0.542
0.250 0.369 0.205
0.750 0.631 0.795
0.250 0.847 0.458
0.750 0.270 0.746
0.750 0.760 0.588
0.250 0.240 0.412
0.250 0.730 0.254
0.750 0.241 0.082
0.250 0.759 0.918
0.750 0.026 0.289
0.750 0.528 0.381
0.250 0.358 0.921
0.750 0.642 0.079
0.250 0.974 0.711
0.250 0.472 0.619
```

Excess energy over the best structure of this formula in the dataset (meV per atom): 9
Space group: No. 11

---

6.
Entry from the Alexandria database: a relaxed structure of TbPm3Au (PBE).

```
TbPm3Au
1.0
7.283 -0.048 -0.406
-2.039 6.992 0.406
-3.227 -3.015 6.588
Pm Au Tb
6 2 2
Direct
0.734 0.457 0.191
0.266 0.543 0.809
0.777 0.607 0.785
0.823 0.992 0.215
0.177 0.008 0.785
0.223 0.393 0.215
0.342 0.225 0.567
0.658 0.775 0.433
0.308 0.923 0.231
0.692 0.077 0.769
```

Space group: No. 12

---

7.
Entry from the Alexandria database: a relaxed structure of ScCuIr (PBE).

```
ScCuIr
1.0
4.286 0.000 0.000
2.143 3.712 0.000
2.143 1.237 3.500
Ir Cu Sc
1 1 1
Direct
0.500 0.500 0.500
0.000 0.000 0.000
0.250 0.250 0.250
```

Excess energy over the best structure of this formula in the dataset (meV per atom): 545
Space group: No. 216

---

8.
Entry from the Alexandria database: a relaxed structure of SrOsRu2 (PBE).

```
SrOsRu2
1.0
-3.813 0.697 3.000
-3.085 -2.078 3.191
2.719 1.061 5.037
Ru Sr Os
2 1 1
Direct
0.726 0.726 0.815
0.003 0.003 0.027
0.499 0.499 0.511
0.272 0.272 0.147
```

Excess energy over the best structure of this formula in the dataset (meV per atom): 104
Space group: No. 8

---

Number 1: calculated formation energy -0.4662 eV per atom, total energy -2.671 eV/atom. Number 2: calculated formation energy -0.4102 eV per atom, total energy -8.595 eV/atom. Number 3: calculated formation energy -0.2909 eV per atom, total energy -8.526 eV/atom. Number 4: calculated formation energy 0.8739 eV per atom, total energy -2.747 eV/atom. Number 5: calculated formation energy -0.3309 eV per atom, total energy -6.492 eV/atom. Number 6: calculated formation energy -0.2069 eV per atom, total energy -4.639 eV/atom. Number 7: calculated formation energy 0.0976 eV per atom, total energy -6.332 eV/atom. Number 8: calculated formation energy 0.6447 eV per atom, total energy -7.221 eV/atom.